(1)
! CsRbCuTe2, optimized geometry, DFT PBE-GGA; values from VASP
&SYSTEM
  ibrav = 0, nat = 10, ntyp = 4
/
ATOMIC_SPECIES
Cs 132.91 Cs.upf
Rb 85.47 Rb.upf
Cu 63.55 Cu.upf
Te 127.60 Te.upf
CELL_PARAMETERS angstrom
6.075 0.000 0.000
0.000 8.405 0.000
0.000 0.000 7.729
ATOMIC_POSITIONS crystal
Cs 0.250 0.000 0.209
Cs 0.750 0.000 0.791
Rb 0.250 0.500 0.381
Rb 0.750 0.500 0.619
Cu 0.000 0.500 0.000
Cu 0.500 0.500 0.000
Te 0.250 0.290 0.818
Te 0.250 0.710 0.818
Te 0.750 0.290 0.182
Te 0.750 0.710 0.182
! Raw formation energy = -0.54 eV per atom

(2)
! CsRb2TlCu, optimized geometry, DFT PBE-GGA; values from VASP
&SYSTEM
  ibrav = 0, nat = 5, ntyp = 4
/
ATOMIC_SPECIES
Cs 132.91 Cs.upf
Rb 85.47 Rb.upf
Tl 204.38 Tl.upf
Cu 63.55 Cu.upf
CELL_PARAMETERS angstrom
6.828 0.000 0.000
0.000 6.828 0.000
0.000 0.000 5.243
ATOMIC_POSITIONS crystal
Cs 0.000 0.000 0.000
Rb 0.000 0.500 0.500
Rb 0.500 0.000 0.500
Tl 0.500 0.500 0.000
Cu 0.500 0.500 0.500
! ΔH_f (0 K) = 0.177 eV per atom

(3)
! CsCuRe3, optimized geometry, DFT PBE-GGA; values from VASP
&SYSTEM
  ibrav = 0, nat = 5, ntyp = 3
/
ATOMIC_SPECIES
Cs 132.91 Cs.upf
Cu 63.55 Cu.upf
Re 186.21 Re.upf
CELL_PARAMETERS angstrom
4.895 0.000 0.000
0.000 4.895 0.000
0.000 0.000 4.895
ATOMIC_POSITIONS crystal
Cs 0.000 0.000 0.000
Cu 0.500 0.500 0.500
Re 0.000 0.000 0.500
Re 0.000 0.500 0.000
Re 0.500 0.000 0.000
! ΔH_f (0 K) = 4.257 eV per atom
! Distance to the lowest polymorph of the same formula = 1.585 eV per atom

(4)
! CsCuRe3, optimized geometry, DFT PBE-GGA; values from VASP
&SYSTEM
  ibrav = 0, nat = 5, ntyp = 3
/
ATOMIC_SPECIES
Cs 132.91 Cs.upf
Cu 63.55 Cu.upf
Re 186.21 Re.upf
CELL_PARAMETERS angstrom
4.758 0.000 0.000
0.000 4.758 0.000
0.000 0.000 4.758
ATOMIC_POSITIONS crystal
Cs 0.000 0.000 0.000
Cu 0.500 0.500 0.500
Re 0.000 0.500 0.500
Re 0.500 0.000 0.500
Re 0.500 0.500 0.000
! ΔH_f (0 K) = 2.671 eV per atom
! Distance to the lowest polymorph of the same formula = 0.000 eV per atom

(5)
! Cs2CuReS4, optimized geometry, DFT PBE-GGA; values from VASP
&SYSTEM
  ibrav = 0, nat = 16, ntyp = 4
/
ATOMIC_SPECIES
Cs 132.91 Cs.upf
Cu 63.55 Cu.upf
Re 186.21 Re.upf
S 32.06 S.upf
CELL_PARAMETERS angstrom
0.000 7.136 12.484
2.832 0.000 12.484
2.832 7.136 0.000
ATOMIC_POSITIONS crystal
Cs 0.052 0.052 0.698
Cs 0.302 0.302 0.948
Cs 0.698 0.698 0.052
Cs 0.948 0.948 0.302
Cu 0.125 0.125 0.125
Cu 0.875 0.875 0.875
Re 0.375 0.375 0.375
Re 0.625 0.625 0.625
S 0.003 0.348 0.427
S 0.278 0.573 0.652
S 0.348 0.003 0.722
S 0.427 0.722 0.003
S 0.573 0.278 0.997
S 0.652 0.997 0.278
S 0.722 0.427 0.348
S 0.997 0.652 0.573
! Raw formation energy = -0.69 eV per atom

(6)
! Cs2CuReSn, optimized geometry, DFT PBE-GGA; values from VASP
&SYSTEM
  ibrav = 0, nat = 5, ntyp = 4
/
ATOMIC_SPECIES
Cs 132.91 Cs.upf
Cu 63.55 Cu.upf
Re 186.21 Re.upf
Sn 118.71 Sn.upf
CELL_PARAMETERS angstrom
7.420 0.000 0.000
0.000 7.420 0.000
0.000 0.000 4.849
ATOMIC_POSITIONS crystal
Cs 0.000 0.500 0.000
Cs 0.500 0.000 0.000
Cu 0.000 0.000 0.500
Re 0.500 0.500 0.500
Sn 0.000 0.000 0.000
! ΔH_f (0 K) = 1.474 eV per atom

(7)
! CsZr2CuRe, optimized geometry, DFT PBE-GGA; values from VASP
&SYSTEM
  ibrav = 0, nat = 5, ntyp = 4
/
ATOMIC_SPECIES
Cs 132.91 Cs.upf
Zr 91.22 Zr.upf
Cu 63.55 Cu.upf
Re 186.21 Re.upf
CELL_PARAMETERS angstrom
5.017 0.000 0.000
0.000 5.017 0.000
0.000 0.000 5.316
ATOMIC_POSITIONS crystal
Cs 0.000 0.000 0.000
Zr 0.000 0.500 0.500
Zr 0.500 0.000 0.500
Cu 0.000 0.000 0.500
Re 0.500 0.500 0.000
! ΔH_f (0 K) = 1.872 eV per atom

(8)
! CsCuRh3, optimized geometry, DFT PBE-GGA; values from VASP
&SYSTEM
  ibrav = 0, nat = 5, ntyp = 3
/
ATOMIC_SPECIES
Cs 132.91 Cs.upf
Cu 63.55 Cu.upf
Rh 102.91 Rh.upf
CELL_PARAMETERS angstrom
4.768 0.000 0.000
0.000 4.768 0.000
0.000 0.000 4.768
ATOMIC_POSITIONS crystal
Cs 0.000 0.000 0.000
Cu 0.500 0.500 0.500
Rh 0.000 0.500 0.500
Rh 0.500 0.000 0.500
Rh 0.500 0.500 0.000
! ΔH_f (0 K) = 1.157 eV per atom
! Distance to the lowest polymorph of the same formula = 0.000 eV per atom

Number 1: E_tot -29.8 eV per cell. Number 2: E_tot -8.4 eV per cell. Number 3: E_tot -21.0 eV per cell. Number 4: E_tot -28.9 eV per cell. Number 5: E_tot -80.6 eV per cell. Number 6: E_tot -14.9 eV per cell. Number 7: E_tot -25.1 eV per cell. Number 8: E_tot -21.2 eV per cell.